A PBEsol-optimized structure of ErMg, computed with meta-GGA SCAN.

Computed properties:
**Formation energy from the elements**: -57 meV per atom

CIF file:
```
data_ErMg
_chemical_formula_sum 'Er1 Mg1'
_cell_length_a 3.713
_cell_length_b 3.713
_cell_length_c 3.713
_cell_angle_alpha 90.00
_cell_angle_beta 90.00
_cell_angle_gamma 90.00
_symmetry_space_group_name_H-M 'P m -3 m'
_symmetry_Int_Tables_number 221
_symmetry_space_group_name_Hall '-P 4 2 3'
loop_
_atom_site_label
_atom_site_type_symbol
_atom_site_fract_x
_atom_site_fract_y
_atom_site_fract_z
Er1 Er 0.000 0.000 0.000
Mg1 Mg 0.500 0.500 0.500
```